(1)
Below is Cs2AgBiBr6 after structural relaxation, with properties calculated at the PBE level.

Its crystal system is monoclinic. For the total energy, the calculation gives -0.10926 Ha/atom. The spin magnetization is 0.000 μB/f.u.

It has space group P2_1/c (No. 14), with a = 8.092 Å, b = 8.083 Å, c = 14.054 Å, α = 90.00°, β = 125.08° and γ = 90.00°. The asymmetric unit holds Cs at (0.246, 0.022, 0.250), Ag at (0.000, 0.000, 0.500), Bi at (0.500, 0.000, 0.000), Br at (0.206, 0.226, 0.981), Br at (0.257, 0.724, 0.983) and Br at (0.284, 0.501, 0.250).

***

(2)
Below is Cd4CoTe after structural relaxation, with properties calculated at the PBE level.

Its crystal system is cubic. For the total energy, the calculation gives -0.06700 Ha/atom. The spin magnetization is 1.634 μB/f.u.

It has space group F-43m (No. 216), with a = 8.142 Å, b = 8.142 Å, c = 8.142 Å, α = 90.00°, β = 90.00° and γ = 90.00°. The asymmetric unit holds Cd at (0.124, 0.124, 0.124), Co at (0.250, 0.250, 0.750) and Te at (0.000, 0.000, 0.500).

***

(3)
Below is LiPmPuSn after structural relaxation, with properties calculated at the PBE level.

Its crystal system is cubic. As for the formation energy: -0.213 eV/atom. For the total energy, the calculation gives -0.23749 Ha/atom. The spin magnetization is 6.516 μB/f.u.

It has space group F-43m (No. 216), with a = 7.551 Å, b = 7.551 Å, c = 7.551 Å, α = 90.00°, β = 90.00° and γ = 90.00°. The asymmetric unit holds Li at (0.000, 0.000, 0.000), Pm at (0.250, 0.250, 0.250), Pu at (0.250, 0.250, 0.750) and Sn at (0.000, 0.000, 0.500).

***

(4)
Below is GaIrIN2 after structural relaxation, with properties calculated at the PBE level.

Its crystal system is tetragonal. As for the energy relative to the lowest polymorph listed for this composition: 0 meV per atom. For the total energy, the calculation gives -0.18908 Ha/atom. The spin magnetization is 0.437 μB/f.u.

It has space group P4/mmm (No. 123), with a = 3.865 Å, b = 3.865 Å, c = 7.981 Å, α = 90.00°, β = 90.00° and γ = 90.00°. The asymmetric unit holds Ga at (0.000, 0.000, 0.000), Ir at (0.500, 0.500, 0.500), I at (0.500, 0.500, 0.000) and N at (0.000, 0.500, 0.500).

***

(5)
Below is Ge2SbPd after structural relaxation, with properties calculated at the PBE level.

Its crystal system is tetragonal. For the total energy, the calculation gives -0.16943 Ha/atom. The spin magnetization is 0.000 μB/f.u.

It has space group I-42d (No. 122), with a = 5.856 Å, b = 5.856 Å, c = 12.315 Å, α = 90.00°, β = 90.00° and γ = 90.00°. The asymmetric unit holds Ge at (0.203, 0.250, 0.125), Sb at (0.000, 0.000, 0.500) and Pd at (0.000, 0.000, 0.000).

***

(6)
Below is AcP4 after structural relaxation, with properties calculated at the PBE level.

Its crystal system is cubic. As for the formation energy: 1.569 eV/atom. For the total energy, the calculation gives -0.13160 Ha/atom. The spin magnetization is 2.951 μB/f.u.

It has space group Pm-3m (No. 221), with a = 5.999 Å, b = 5.999 Å, c = 5.999 Å, α = 90.00°, β = 90.00° and γ = 90.00°. The asymmetric unit holds Ac at (0.000, 0.000, 0.000), P at (0.000, 0.000, 0.500) and P at (0.500, 0.500, 0.500).

***

(7)
Below is BaPrPd2 after structural relaxation, with properties calculated at the PBE level.

Its crystal system is tetragonal. As for the energy relative to the lowest polymorph listed for this composition: 0 meV per atom. As for the formation energy: -0.634 eV/atom. For the total energy, the calculation gives -0.18029 Ha/atom. The spin magnetization is 0.000 μB/f.u.

It has space group P4/mmm (No. 123), with a = 3.766 Å, b = 3.766 Å, c = 7.665 Å, α = 90.00°, β = 90.00° and γ = 90.00°. The asymmetric unit holds Ba at (0.000, 0.000, 0.000), Pr at (0.000, 0.000, 0.500) and Pd at (0.500, 0.500, 0.298).

***

(8)
Below is Tb5Hg2IrRh2 after structural relaxation, with properties calculated at the PBE level.

Its crystal system is tetragonal. As for the formation energy: -0.613 eV/atom. For the total energy, the calculation gives -0.19643 Ha/atom. The spin magnetization is 0.000 μB/f.u.

It has space group P4/mbm (No. 127), with a = 11.535 Å, b = 11.535 Å, c = 3.590 Å, α = 90.00°, β = 90.00° and γ = 90.00°. The asymmetric unit holds Tb at (0.000, 0.500, 0.000), Tb at (0.078, 0.191, 0.000), Hg at (0.174, 0.674, 0.500), Ir at (0.000, 0.000, 0.500) and Rh at (0.133, 0.367, 0.500).

***

(9)
Below is Tc8Ni after structural relaxation, with properties calculated at the PBE level.

Its crystal system is tetragonal. As for the formation energy: 0.061 eV/atom. For the total energy, the calculation gives -0.35997 Ha/atom. The spin magnetization is 0.000 μB/f.u.

It has space group I4/mmm (No. 139), with a = 8.162 Å, b = 8.162 Å, c = 3.844 Å, α = 90.00°, β = 90.00° and γ = 90.00°. The asymmetric unit holds Tc at (0.000, 0.329, 0.000), Tc at (0.162, 0.162, 0.500) and Ni at (0.000, 0.000, 0.000).

***

(10)
Below is MnAsAu2 after structural relaxation, with properties calculated at the PBE level.

Its crystal system is tetragonal. As for the formation energy: 0.089 eV/atom. For the total energy, the calculation gives -0.18391 Ha/atom. The spin magnetization is 3.829 μB/f.u.

It has space group P4/mmm (No. 123), with a = 2.985 Å, b = 2.985 Å, c = 7.981 Å, α = 90.00°, β = 90.00° and γ = 90.00°. The asymmetric unit holds Mn at (0.000, 0.000, 0.000), As at (0.000, 0.000, 0.500) and Au at (0.500, 0.500, 0.227).

***

(11)
Below is LiTb2CdSe4 after structural relaxation, with properties calculated at the PBE level.

Its crystal system is monoclinic. For the total energy, the calculation gives -0.17064 Ha/atom. The spin magnetization is 0.000 μB/f.u.

It has space group P2/m (No. 10), with a = 7.050 Å, b = 4.084 Å, c = 7.362 Å, α = 90.00°, β = 108.71° and γ = 90.00°. The asymmetric unit holds Li at (0.000, 0.000, 0.000), Tb at (0.000, 0.500, 0.500), Tb at (0.500, 0.000, 0.500), Cd at (0.500, 0.500, 0.000), Se at (0.246, 0.000, 0.740) and Se at (0.252, 0.500, 0.256).

***

(12)
Below is Tb2Ga3PdPt4 after structural relaxation, with properties calculated at the PBE level.

Its crystal system is tetragonal. As for the formation energy: -0.923 eV/atom. For the total energy, the calculation gives -0.20921 Ha/atom. The spin magnetization is 0.000 μB/f.u.

It has space group P-4m2 (No. 115), with a = 4.013 Å, b = 4.013 Å, c = 11.665 Å, α = 90.00°, β = 90.00° and γ = 90.00°. The asymmetric unit holds Tb at (0.000, 0.500, 0.242), Ga at (0.000, 0.000, 0.000), Ga at (0.000, 0.500, 0.631), Pd at (0.500, 0.500, 0.000), Pt at (0.000, 0.000, 0.500), Pt at (0.000, 0.500, 0.841) and Pt at (0.500, 0.500, 0.500).